PBE YAlHg, optimized geometry; total moment = 0.00 μB per formula unit; DFT total energy = -0.1376 Ha/atom; calculated formation energy = -0.242 eV per atom; D(E_F) = 2.42 states/eV/cell
1.0
-3.2895 -3.6801 -1.2251
4.9236 -1.1004 0.6413
-1.0230 -1.0820 5.9968
Al Y Hg
2 2 2
direct
0.3333 0.6667 0.2500
0.6667 0.3333 0.7500
0.3333 0.6667 0.7500
0.6667 0.3333 0.2500
0.0000 0.0000 0.5000
0.0000 0.0000 0.0000